# Sc2BeRhW

A geometry-optimized Sc2BeRhW structure (PBE, Alexandria).

abc: 4.586 4.586 4.227
angles: 90.00 90.00 90.00
Fractional positions:
Sc  0.000  0.500  0.000
Sc  0.500  0.000  0.000
Be  0.000  0.000  0.000
Rh  0.500  0.500  0.500
W  0.000  0.000  0.500

DFT formation energy ... 2.36 eV per formula unit
ΔE to the lowest computed polymorph ... 0.0 meV per atom
Space-group type ... No. 123

# HgB2AuC

A geometry-optimized HgB2AuC structure (PBE, Alexandria).

abc: 4.032 4.032 5.291
angles: 90.00 90.00 90.00
Fractional positions:
Hg  0.000  0.000  0.000
B  0.000  0.500  0.500
B  0.500  0.000  0.500
Au  0.500  0.500  0.500
C  0.500  0.500  0.000

DFT formation energy ... 10.53 eV per formula unit
Space-group type ... No. 123

# ScFeSiH

A geometry-optimized ScFeSiH structure (PBE, Alexandria).

abc: 3.699 3.699 6.953
angles: 90.00 90.00 90.00
Fractional positions:
Sc  0.250  0.250  0.151
Sc  0.750  0.750  0.849
Fe  0.250  0.750  0.500
Fe  0.750  0.250  0.500
Si  0.250  0.250  0.695
Si  0.750  0.750  0.305
H  0.250  0.750  0.000
H  0.750  0.250  0.000

Space-group type ... No. 129

| no. | energy (eV per cell) |
| --- | --- |
| 1 | -34.335 |
| 2 | -15.629 |
| 3 | -52.088 |